Record 1
Compound: Th4Fe2Sb
Source: Alexandria
Functional: PBE
Structure: relaxed

Computed properties:
E_tot   -0.27378 hartree per atom
SG   I-42d
Formation energy without anion corrections   -20 kJ per mole of atoms
Total moment   0.0 μB/f.u.

Cell and atoms, written as extended XYZ:
```
14
Lattice="-4.939 -3.886 -4.671 7.490 -0.083 -2.280 -0.268 -3.520 6.989" Properties=species:S:1:pos:R:3 pbc="T T T"
Th -3.216 -5.163 -2.379
Th 1.835 -2.497 -1.368
Th 0.093 -5.484 -0.981
Th -2.832 -5.648 1.254
Th -1.907 -2.485 -0.212
Th -0.361 -3.733 3.608
Th 2.832 -5.029 2.302
Th 0.260 -3.717 -4.469
Fe 0.080 -4.304 1.219
Fe 2.841 -4.176 -2.918
Fe -1.121 -2.954 -2.533
Fe 2.767 -3.543 4.307
Sb 4.249 -2.794 0.616
Sb -0.268 -3.520 6.988
```

***

Record 2
Compound: AlAsI3
Source: Alexandria
Functional: PBE
Structure: relaxed

Computed properties:
E_tot   -0.09017 hartree per atom
SG   Pm-3m
Formation energy without anion corrections   15 kJ per mole of atoms
Total moment   0.0 μB/f.u.

Cell and atoms, written as extended XYZ:
```
5
Lattice="5.775 0.000 0.000 0.000 5.775 0.000 0.000 0.000 5.775" Properties=species:S:1:pos:R:3 pbc="T T T"
I 0.000 2.887 0.000
I 0.000 0.000 2.887
I 2.887 0.000 0.000
As 0.000 0.000 0.000
Al 2.887 2.887 2.887
```

***

The evaluated Fermi-level density of states for the records listed, in turn: 1.26 0.31 states/eV/atom.